Computed, not measured: a relaxed LaRe2Ru crystal at the PBE-GGA level of DFT.

Unit cell a=4.823 b=4.823 c=5.899 alpha=73.80 beta=73.80 gamma=38.00
Fractional coordinates of all 4 atoms:
La1 0.751 0.751 0.742
Re1 0.973 0.973 0.099
Re2 0.252 0.252 0.238
Ru1 0.524 0.524 0.421

Values from the calculation:
The value obtained for the energy above the most stable polymorph in this dataset is 0.177 eV per atom. As for the magnetization: 0.00 μB/f.u. The crystal system is monoclinic. The energy of formation from the pure elements is 437.6 meV/atom.